Ca2AlSi3Pd4: optimized geometry, PBE.

Properties
Density of states at the Fermi level in states/eV per cell: 4.040
V in A^3/atom: 17.97
Magnetic moment in μB/atom: 0.000
Crystal system: tetragonal
Symmetry: P-4m2
Energy in eV/atom: -5.2585

Cell: 4.149 4.149 10.435 Å, 90.00 90.00 90.00°
Element x y z (fractional)
Ca: 0.000 0.500 0.248
Ca: 0.500 0.000 0.752
Al: 0.000 0.000 0.500
Si: 0.000 0.500 0.871
Si: 0.500 0.000 0.129
Si: 0.500 0.500 0.500
Pd: 0.000 0.000 0.000
Pd: 0.000 0.500 0.637
Pd: 0.500 0.000 0.363
Pd: 0.500 0.500 0.000